Density functional theory data (GGA-PBE) for crystalline Li2NiPd4 at its relaxed geometry.

a b c (Å): 5.0981 5.0981 5.0981
angles (deg): 112.02 112.02 104.49
Sites, in units of the cell vectors:
Li: 0.0000 0.5000 0.5000
Li: 0.5000 0.0000 0.5000
Ni: 0.0000 0.0000 0.0000
Pd: 0.0000 0.0000 0.5000
Pd: 0.0000 0.5000 0.0000
Pd: 0.5000 0.0000 0.0000
Pd: 0.5000 0.5000 0.5000

Results
- Calculated density: 8.157 g/cm³
- Space-group type: I4/mmm, No. 139
- Energy: -31.093 eV/cell



Density functional theory data (GGA-PBE) for crystalline MgAuBr2 at its relaxed geometry.

a b c (Å): 8.7102 8.7102 8.7102
angles (deg): 26.40 26.40 26.40
Sites, in units of the cell vectors:
Mg: 0.0000 0.0000 0.0000
Au: 0.2676 0.2676 0.2676
Br: 0.5400 0.5400 0.5400
Br: 0.7246 0.7246 0.7246

Results
- Calculated density: 5.498 g/cm³
- Energy above the lowest structure with this stoichiometry: 77 meV per atom
- Space-group type: R3m, No. 160
- Raw formation energy: -549 meV per atom
- Energy: -10.412 eV/cell